1.
Below is a relaxed BeVPd4 crystal, with properties calculated at the PBE level.

Structure (CIF):
```
data_BeVPd4
_cell_length_a 2.779
_cell_length_b 2.779
_cell_length_c 10.612
_cell_angle_alpha 90.00
_cell_angle_beta 90.00
_cell_angle_gamma 90.00
_space_group_name_H-M_alt 'P 4/m m m'
_space_group_IT_number 123
_space_group_name_Hall '-P 4 2'
loop_
_atom_site_label
_atom_site_type_symbol
_atom_site_fract_x
_atom_site_fract_y
_atom_site_fract_z
Be1 Be 0.000 0.000 0.000
V1 V 0.500 0.500 0.500
Pd1 Pd 0.000 0.000 0.331
Pd2 Pd 0.500 0.500 0.132
```

E_form, eV/atom: -0.36
Size of the total moment, Bohr magnetons per cell: 0.0
Electronic total energy, eV per cell: -35.78



2.
Below is a relaxed BeVPd5 crystal, with properties calculated at the PBE level.

Structure (CIF):
```
data_BeVPd5
_cell_length_a 7.398
_cell_length_b 5.861
_cell_length_c 9.593
_cell_angle_alpha 90.00
_cell_angle_beta 103.66
_cell_angle_gamma 90.00
_space_group_name_H-M_alt 'C 1 2/c 1'
_space_group_IT_number 15
_space_group_name_Hall '-C 2yc'
loop_
_atom_site_label
_atom_site_type_symbol
_atom_site_fract_x
_atom_site_fract_y
_atom_site_fract_z
Be1 Be 0.000 0.000 0.000
V1 V 0.000 0.377 0.250
Pd1 Pd 0.000 0.032 0.750
Pd2 Pd 0.135 0.352 0.573
Pd3 Pd 0.245 0.345 0.873
```

E_form, eV/atom: -0.18
Size of the total moment, Bohr magnetons per cell: 4.0
Electronic total energy, eV per cell: -160.32



3.
Below is a relaxed Be2VPd2 crystal, with properties calculated at the PBE level.

Structure (CIF):
```
data_Be2VPd2
_cell_length_a 6.680
_cell_length_b 6.680
_cell_length_c 2.702
_cell_angle_alpha 90.00
_cell_angle_beta 90.00
_cell_angle_gamma 90.00
_space_group_name_H-M_alt 'P 4/m b m'
_space_group_IT_number 127
_space_group_name_Hall '-P 4 2ab'
loop_
_atom_site_label
_atom_site_type_symbol
_atom_site_fract_x
_atom_site_fract_y
_atom_site_fract_z
Be1 Be 0.122 0.378 0.000
V1 V 0.000 0.000 0.000
Pd1 Pd 0.173 0.673 0.500
```

E_form, eV/atom: -0.32
Size of the total moment, Bohr magnetons per cell: 2.2
Electronic total energy, eV per cell: -57.13



4.
Below is a relaxed BeVPd crystal, with properties calculated at the PBE level.

Structure (CIF):
```
data_BeVPd
_cell_length_a 4.625
_cell_length_b 7.602
_cell_length_c 8.275
_cell_angle_alpha 90.00
_cell_angle_beta 90.00
_cell_angle_gamma 90.00
_space_group_name_H-M_alt 'F m m m'
_space_group_IT_number 69
_space_group_name_Hall '-F 2 2'
loop_
_atom_site_label
_atom_site_type_symbol
_atom_site_fract_x
_atom_site_fract_y
_atom_site_fract_z
Be1 Be 0.250 0.250 0.250
V1 V 0.000 0.147 0.000
Pd1 Pd 0.000 0.000 0.339
```

E_form, eV/atom: -0.20
Size of the total moment, Bohr magnetons per cell: 0.0
Electronic total energy, eV per cell: -149.12



5.
Below is a relaxed BeVPd crystal, with properties calculated at the PBE level.

Structure (CIF):
```
data_BeVPd
_cell_length_a 2.587
_cell_length_b 2.587
_cell_length_c 13.124
_cell_angle_alpha 90.00
_cell_angle_beta 90.00
_cell_angle_gamma 90.00
_space_group_name_H-M_alt 'I 4 m m'
_space_group_IT_number 107
_space_group_name_Hall 'I 4 -2'
loop_
_atom_site_label
_atom_site_type_symbol
_atom_site_fract_x
_atom_site_fract_y
_atom_site_fract_z
Be1 Be 0.000 0.000 0.000
V1 V 0.000 0.000 0.818
Pd1 Pd 0.000 0.000 0.166
```

E_form, eV/atom: 0.55
Size of the total moment, Bohr magnetons per cell: 0.7
Electronic total energy, eV per cell: -32.77



6.
Below is a relaxed Be5VPd4 crystal, with properties calculated at the PBE level.

Structure (CIF):
```
data_Be5VPd4
_cell_length_a 2.799
_cell_length_b 2.799
_cell_length_c 14.374
_cell_angle_alpha 90.00
_cell_angle_beta 90.00
_cell_angle_gamma 90.00
_space_group_name_H-M_alt 'P 4/m m m'
_space_group_IT_number 123
_space_group_name_Hall '-P 4 2'
loop_
_atom_site_label
_atom_site_type_symbol
_atom_site_fract_x
_atom_site_fract_y
_atom_site_fract_z
Be1 Be 0.000 0.000 0.000
Be2 Be 0.000 0.000 0.200
Be3 Be 0.000 0.000 0.394
V1 V 0.500 0.500 0.500
Pd1 Pd 0.500 0.500 0.099
Pd2 Pd 0.500 0.500 0.297
```

E_form, eV/atom: -0.46
Size of the total moment, Bohr magnetons per cell: 0.0
Electronic total energy, eV per cell: -53.10